Compound: Y2HoZr
Source: Alexandria
Functional: PBE
Structure: relaxed

The calculation puts the spin magnetization at 0.001 μB per atom. Its total DFT energy (no corrections) is -25.34 eV per cell. Its energy above the most stable polymorph in this dataset is 0.0961 eV/atom. As for the formation enthalpy at 0 K: 0.18 eV/atom.

The structure belongs to space group P4/mmm (No. 123); the cell edges are 4.029, 4.029 and 7.233 Å and the angles 90.00°, 90.00° and 90.00°. Symmetry generates all atoms from Y at (0.000, 0.000, 0.227), Ho at (0.500, 0.500, 0.500) and Zr at (0.500, 0.500, 0.000).



Compound: CeNdIr
Source: Alexandria
Functional: PBE
Structure: relaxed

The calculation puts the spin magnetization at 0.000 μB per atom. Its total DFT energy (no corrections) is -41.51 eV per cell. Its energy above the most stable polymorph in this dataset is 0.1414 eV/atom. As for the formation enthalpy at 0 K: -0.40 eV/atom.

The structure belongs to space group P-1 (No. 2); the cell edges are 3.713, 6.186 and 7.463 Å and the angles 66.41°, 75.64° and 73.05°. Symmetry generates all atoms from Ce at (0.137, 0.269, 0.466), Nd at (0.156, 0.763, 0.927) and Ir at (0.489, 0.773, 0.246).



Compound: MgSb4Pd15
Source: Alexandria
Functional: PBE
Structure: relaxed

The uncorrected formation energy comes out at -8.29 eV per formula unit. The calculation puts the spin magnetization at 0.000 μB per atom. Its total DFT energy (no corrections) is -104.26 eV per cell.

The structure belongs to space group P4/mmm (No. 123); the cell edges are 4.044, 4.044 and 20.132 Å and the angles 90.00°, 90.00° and 90.00°. Symmetry generates all atoms from Mg at (0.000, 0.000, 0.000), Sb at (0.000, 0.000, 0.191), Sb at (0.000, 0.000, 0.398), Pd at (0.000, 0.500, 0.098), Pd at (0.000, 0.500, 0.300), Pd at (0.000, 0.500, 0.500), Pd at (0.500, 0.500, 0.000), Pd at (0.500, 0.500, 0.202) and Pd at (0.500, 0.500, 0.400).



Compound: LiSnN3
Source: Alexandria
Functional: PBE
Structure: relaxed

The uncorrected formation energy comes out at 8.98 eV per formula unit. The calculation puts the spin magnetization at 0.195 μB per atom. Its total DFT energy (no corrections) is -21.91 eV per cell.

The structure belongs to space group Pm-3m (No. 221); the cell edges are 3.675, 3.675 and 3.675 Å and the angles 90.00°, 90.00° and 90.00°. Symmetry generates all atoms from Li at (0.000, 0.000, 0.000), Sn at (0.500, 0.500, 0.500) and N at (0.000, 0.000, 0.500).



Compound: BeZnBr2
Source: Alexandria
Functional: PBE
Structure: relaxed

The uncorrected formation energy comes out at -1.33 eV per formula unit. The calculation puts the spin magnetization at 0.000 μB per atom. Its total DFT energy (no corrections) is -19.35 eV per cell. Its energy above the most stable polymorph in this dataset is 0.0247 eV/atom.

The structure belongs to space group C2/m (No. 12); the cell edges are 6.016, 3.470 and 10.126 Å and the angles 90.00°, 100.29° and 90.00°. Symmetry generates all atoms from Be at (0.000, 0.000, 0.000), Zn at (0.000, 0.500, 0.500) and Br at (0.208, 0.500, 0.138).



Compound: La6Pd2RhI3
Source: Alexandria
Functional: PBE
Structure: relaxed

The uncorrected formation energy comes out at -11.92 eV per formula unit. The calculation puts the spin magnetization at 0.000 μB per atom. Its total DFT energy (no corrections) is -127.74 eV per cell.

The structure belongs to space group C2/m (No. 12); the cell edges are 7.450, 12.908 and 8.628 Å and the angles 90.00°, 106.73° and 90.00°. Symmetry generates all atoms from La at (0.225, 0.162, 0.189), La at (0.239, 0.500, 0.189), Pd at (0.000, 0.333, 0.000), Rh at (0.000, 0.000, 0.000), I at (0.000, 0.167, 0.500) and I at (0.000, 0.500, 0.500).



Compound: LaMg3Cl
Source: Alexandria
Functional: PBE
Structure: relaxed

The uncorrected formation energy comes out at 3.89 eV per formula unit. The calculation puts the spin magnetization at 0.000 μB per atom. Its total DFT energy (no corrections) is -7.67 eV per cell. Its energy above the most stable polymorph in this dataset is 0.8292 eV/atom.

The structure belongs to space group Pm-3m (No. 221); the cell edges are 6.612, 6.612 and 6.612 Å and the angles 90.00°, 90.00° and 90.00°. Symmetry generates all atoms from La at (0.000, 0.000, 0.000), Mg at (0.000, 0.000, 0.500) and Cl at (0.500, 0.500, 0.500).